1.
VASP calculation (PBE) on a geometry-optimized ThAgPd structure.

abc: 4.731 4.731 7.033
angles: 90.00 90.00 120.00
Element x y z (fractional)
Th (0.179, 0.357, 0.797)
Th (0.845, 0.690, 0.426)
Ag (0.512, 0.024, 0.101)
Ag (0.178, 0.357, 0.229)
Pd (0.512, 0.024, 0.613)
Pd (0.845, 0.690, 0.991)

Properties
crystal system = trigonal
SG = P3m1 (156)
magnetic moment = 0.0 μB/f.u.
DFT total energy = -5.54 eV per atom
polymorph energy (0 for the lowest one) = 153 meV/atom



2.
VASP calculation (PBE) on a geometry-optimized Sm2DyY9 structure.

abc: 5.062 5.062 15.178
angles: 90.00 90.00 90.00
Element x y z (fractional)
Sm (0.000, 0.000, 0.333)
Sm (0.000, 0.000, 0.667)
Dy (0.000, 0.000, 0.000)
Y (0.500, 0.500, 0.000)
Y (0.500, 0.500, 0.333)
Y (0.500, 0.500, 0.667)
Y (0.500, 0.000, 0.166)
Y (0.500, 0.000, 0.500)
Y (0.500, 0.000, 0.834)
Y (0.000, 0.500, 0.166)
Y (0.000, 0.500, 0.500)
Y (0.000, 0.500, 0.834)

Properties
crystal system = tetragonal
SG = P4/mmm (123)
magnetic moment = 0.0 μB/f.u.
DFT total energy = -5.99 eV per atom



| no. | DFT formation energy (eV per atom) |
| --- | --- |
| 1 | -0.38 |
| 2 | 0.02 |